[1]
# Ce2HoTc

A geometry-optimized Ce2HoTc structure (PBE, the Alexandria database).

The calculation puts the formation energy at 0.149 eV per atom. As for the crystal system: trigonal. The space-group type is R3m (160). The energy above the most stable polymorph in this dataset is 197 meV/atom.

Cell lengths 3.8553, 3.8553, 8.9701 Å; angles 77.59, 77.59, 60.00 degrees
Positions (direct):
Tc 0.6651 0.6651 0.0048
Ce 0.2730 0.2730 0.1809
Ce 0.0610 0.0610 0.8171
Ho 0.5010 0.5010 0.4971

***

[2]
# Tb3Pr2Hg2

A geometry-optimized Tb3Pr2Hg2 structure (PBE, the Alexandria database).

The calculation puts the formation energy at -0.211 eV per atom. As for the crystal system: orthorhombic. The space-group type is Cmmm (65). The energy above the most stable polymorph in this dataset is 0 meV/atom.

Cell lengths 3.6594, 3.6062, 16.2239 Å; angles 90.00, 96.48, 90.00 degrees
Positions (direct):
Pr 0.2988 0.5000 0.5975
Pr 0.7012 0.5000 0.4025
Tb 0.5758 0.5000 0.1517
Tb 0.0000 0.0000 0.0000
Tb 0.4242 0.5000 0.8483
Hg 0.1347 0.0000 0.2695
Hg 0.8653 0.0000 0.7305

***

[3]
# PrPu2PaS4

A geometry-optimized PrPu2PaS4 structure (PBE, the Alexandria database).

Its uncorrected formation energy is -14.20 eV/f.u. As for the crystal system: monoclinic. The space-group type is P2/m (10).

Cell lengths 3.9518, 6.9507, 6.8251 Å; angles 109.39, 90.00, 90.00 degrees
Site moments in Bohr magnetons follow the coordinates.
Positions (direct):
Pr 0.0000 0.0000 0.0000  -0.03
S 0.0000 0.2547 0.7468  0.02
S 0.5000 0.2607 0.2566  -0.03
S 0.5000 0.7393 0.7434  -0.03
S 0.0000 0.7453 0.2532  0.02
Pu 0.0000 0.5000 0.5000  5.20
Pu 0.5000 0.0000 0.5000  -5.23
Pa 0.5000 0.5000 0.0000  0.33

***

[4]
# Cs3CaMg

A geometry-optimized Cs3CaMg structure (PBE, the Alexandria database).

The calculation puts the formation energy at 0.377 eV per atom. As for the crystal system: cubic. The space-group type is Pm-3m (221). The energy above the most stable polymorph in this dataset is 0 meV/atom.

Cell lengths 7.5665, 7.5665, 7.5665 Å; angles 90.00, 90.00, 90.00 degrees
Positions (direct):
Mg 0.0000 0.0000 0.0000
Ca 0.5000 0.5000 0.5000
Cs 0.5000 0.0000 0.0000
Cs 0.0000 0.0000 0.5000
Cs 0.0000 0.5000 0.0000

***

| no. | DOS at the Fermi energy (states/eV per cell) | size of the total moment (μB/cell) |
| --- | --- | --- |
| 1 | 8.38 | 0.01 |
| 2 | 8.44 | 0.01 |
| 3 | 14.99 | 0.33 |
| 4 | 4.21 | 0.00 |